# 1
Compound: Mg3AgBi
Source: Alexandria via LeMat-Bulk
Functional: PBE-GGA
Structure: relaxed

Output
- Magnetization: 0.0 Bohr magnetons per cell
- ΔE_f: -0.13 eV per atom
- Space group: No. 14

Structure (extended XYZ):
```
20
Lattice="8.668 0.000 0.000 0.000 6.147 0.000 -2.097 0.000 9.224" Properties=species:S:1:pos:R:3 pbc="T T T"
Mg 0.029 0.040 2.460
Mg -1.020 3.033 7.072
Mg 2.048 3.095 1.129
Mg 1.000 6.125 5.741
Mg 2.519 0.111 0.322
Mg 1.470 2.963 4.934
Mg 5.101 3.184 4.290
Mg 4.052 6.036 8.902
Mg 5.571 0.022 3.484
Mg 4.522 3.051 8.096
Mg 7.591 3.113 2.152
Mg 6.542 6.107 6.764
Ag 0.077 1.481 0.015
Ag -0.971 1.592 4.627
Ag 7.542 4.555 4.597
Ag 6.493 4.665 9.210
Bi 1.715 4.186 7.899
Bi 2.763 5.034 3.287
Bi 3.808 1.113 5.937
Bi 4.856 1.961 1.325
```

***

# 2
Compound: Mg2Ag2Bi
Source: Alexandria via LeMat-Bulk
Functional: PBE-GGA
Structure: relaxed

Output
- Magnetization: 0.0 Bohr magnetons per cell
- ΔE_f: -0.14 eV per atom
- Space group: No. 127

Structure (extended XYZ):
```
10
Lattice="8.088 0.000 0.000 0.000 8.088 0.000 0.000 0.000 3.311" Properties=species:S:1:pos:R:3 pbc="T T T"
Mg 1.326 2.718 0.000
Mg 2.718 6.762 0.000
Mg 5.370 1.326 0.000
Mg 6.762 5.370 0.000
Ag 1.029 5.074 1.656
Ag 3.015 1.029 1.656
Ag 5.074 7.059 1.656
Ag 7.059 3.015 1.656
Bi 0.000 0.000 1.656
Bi 4.044 4.044 1.656
```

***

# 3
Compound: MgAgBi2
Source: Alexandria via LeMat-Bulk
Functional: PBE-GGA
Structure: relaxed

Output
- Magnetization: 0.0 Bohr magnetons per cell
- ΔE_f: 0.04 eV per atom
- Space group: No. 122

Structure (extended XYZ):
```
8
Lattice="-2.461 2.461 9.669 2.461 -2.461 9.669 2.461 2.461 -9.669" Properties=species:S:1:pos:R:3 pbc="T T T"
Mg 0.000 0.000 0.000
Mg 0.000 2.461 4.834
Ag 2.461 0.000 4.834
Ag 0.000 0.000 9.669
Bi 1.231 -1.171 7.251
Bi 1.290 1.231 2.417
Bi 1.231 3.633 -2.417
Bi 1.171 1.231 12.086
```

***

# 4
Compound: MgAg2Bi2
Source: Alexandria via LeMat-Bulk
Functional: PBE-GGA
Structure: relaxed

Output
- Magnetization: 0.0 Bohr magnetons per cell
- ΔE_f: 0.12 eV per atom
- Space group: No. 127

Structure (extended XYZ):
```
10
Lattice="8.292 0.000 0.000 0.000 8.292 0.000 0.000 0.000 3.781" Properties=species:S:1:pos:R:3 pbc="T T T"
Mg 0.000 0.000 0.000
Mg 4.146 4.146 0.000
Ag 1.016 3.130 1.891
Ag 3.130 7.276 1.891
Ag 5.162 1.016 1.891
Ag 7.276 5.162 1.891
Bi 1.461 5.607 0.000
Bi 2.685 1.461 0.000
Bi 5.607 6.831 0.000
Bi 6.831 2.685 0.000
```

***

# 5
Compound: Mg3AgBi
Source: Alexandria via LeMat-Bulk
Functional: PBE-GGA
Structure: relaxed

Output
- Magnetization: 0.0 Bohr magnetons per cell
- ΔE_f: 0.51 eV per atom
- Space group: No. 221

Structure (extended XYZ):
```
5
Lattice="5.545 0.000 0.000 0.000 5.545 0.000 0.000 0.000 5.545" Properties=species:S:1:pos:R:3 pbc="T T T"
Mg 0.000 0.000 2.772
Mg 0.000 2.772 0.000
Mg 2.772 0.000 0.000
Ag 2.772 2.772 2.772
Bi 0.000 0.000 0.000
```

***

# 6
Compound: MgAgBi2
Source: Alexandria via LeMat-Bulk
Functional: PBE-GGA
Structure: relaxed

Output
- Magnetization: 0.0 Bohr magnetons per cell
- ΔE_f: 0.02 eV per atom
- Space group: No. 123

Structure (extended XYZ):
```
4
Lattice="4.921 0.000 0.000 0.000 4.921 0.000 0.000 0.000 4.268" Properties=species:S:1:pos:R:3 pbc="T T T"
Mg 0.000 0.000 0.000
Ag 2.461 2.461 0.000
Bi 0.000 2.461 2.134
Bi 2.461 0.000 2.134
```

***

# 7
Compound: Mg3AgBi
Source: Alexandria via LeMat-Bulk
Functional: PBE-GGA
Structure: relaxed

Output
- Magnetization: 0.0 Bohr magnetons per cell
- ΔE_f: -0.14 eV per atom
- Space group: No. 11

Structure (extended XYZ):
```
10
Lattice="7.436 0.000 0.000 0.000 4.574 0.000 -2.483 0.000 7.083" Properties=species:S:1:pos:R:3 pbc="T T T"
Mg -0.415 1.144 1.372
Mg 0.855 3.431 4.475
Mg 0.122 1.144 6.755
Mg 4.831 3.431 0.328
Mg 4.098 1.144 2.608
Mg 5.368 3.431 5.712
Ag -0.993 1.144 4.317
Ag 5.946 3.431 2.766
Bi 1.854 3.431 1.548
Bi 3.099 1.144 5.535
```

***

# 8
Compound: Mg6Ag5Bi
Source: Alexandria via LeMat-Bulk
Functional: PBE-GGA
Structure: relaxed

Output
- Magnetization: 0.0 Bohr magnetons per cell
- ΔE_f: -0.19 eV per atom
- Space group: No. 12

Structure (extended XYZ):
```
12
Lattice="7.444 -3.611 0.000 7.444 3.611 0.000 -1.431 0.000 4.457" Properties=species:S:1:pos:R:3 pbc="T T T"
Mg 4.391 1.908 1.451
Mg 7.444 2.013 0.000
Mg 9.065 1.908 3.006
Mg 4.391 -1.908 1.451
Mg 7.444 -2.013 0.000
Mg 9.065 -1.908 3.006
Ag -0.716 0.000 2.229
Ag 2.282 0.000 0.763
Ag 3.783 0.000 3.717
Ag 9.673 0.000 0.740
Ag 11.174 0.000 3.694
Bi 6.728 0.000 2.229
```

***

> The lowest ΔE_f belongs to which entry?

Mg6Ag5Bi

***

> What is the ΔE_f in the fourth record?

0.12 eV per atom